Model one:
Below is a relaxed structure of Zr2AlTl2, with properties calculated at the GGA-PBE level.

The structure belongs to space group P4/mbm (No. 127); the cell edges are 7.2259, 7.2259 and 4.3438 Å and the angles 90.00°, 90.00° and 90.00°. The distinct sites, in fractional coordinates, are Zr at (0.1709, 0.3291, 0.0000), Al at (0.0000, 0.0000, 0.5000) and Tl at (0.1389, 0.6389, 0.5000).

For the volume, the calculation gives 227 Å³ per cell. For the density of states at the Fermi level, the calculation gives 5.27 states/eV/cell. The value obtained for the calculated density is 9.1 Mg/m³.


Model two:
Below is a relaxed structure of Zr2AlTl2, with properties calculated at the GGA-PBE level.

The structure belongs to space group P4/mbm (No. 127); the cell edges are 7.3179, 7.3179 and 4.4838 Å and the angles 90.00°, 90.00° and 90.00°. The distinct sites, in fractional coordinates, are Zr at (0.1555, 0.3445, 0.0000), Al at (0.0000, 0.0000, 0.0000) and Tl at (0.1551, 0.6551, 0.5000).

For the volume, the calculation gives 240 Å³ per cell. For the density of states at the Fermi level, the calculation gives 13.35 states/eV/cell. The value obtained for the calculated density is 8.6 Mg/m³.


Tell me which of them is the most stable. Sure, it is model two.


Model one:
Below is a relaxed structure of ZrAlTl3, with properties calculated at the GGA-PBE level.

The structure belongs to space group Pm-3m (No. 221); the cell edges are 5.6688, 5.6688 and 5.6688 Å and the angles 90.00°, 90.00° and 90.00°. The distinct sites, in fractional coordinates, are Zr at (0.0000, 0.0000, 0.0000), Al at (0.5000, 0.5000, 0.5000) and Tl at (0.0000, 0.0000, 0.5000).

For the volume, the calculation gives 182 Å³ per cell. For the density of states at the Fermi level, the calculation gives 4.93 states/eV/cell. The value obtained for the calculated density is 6.7 Mg/m³.


Model two:
Below is a relaxed structure of ZrAlTl3, with properties calculated at the GGA-PBE level.

The structure belongs to space group Pm-3m (No. 221); the cell edges are 5.2308, 5.2308 and 5.2308 Å and the angles 90.00°, 90.00° and 90.00°. The distinct sites, in fractional coordinates, are Zr at (0.0000, 0.0000, 0.0000), Al at (0.5000, 0.5000, 0.5000) and Tl at (0.0000, 0.5000, 0.5000).

For the volume, the calculation gives 143 Å³ per cell. For the density of states at the Fermi level, the calculation gives 5.72 states/eV/cell. The value obtained for the calculated density is 8.5 Mg/m³.


Tell me which of them is the most stable. Sure, it is model one.


Model one:
Below is a relaxed structure of Zr3AlTl, with properties calculated at the GGA-PBE level.

The structure belongs to space group P6_3/mmc (No. 194); the cell edges are 7.0028, 7.0028 and 5.4491 Å and the angles 90.00°, 90.00° and 120.00°. The distinct sites, in fractional coordinates, are Zr at (0.1895, 0.3790, 0.2500), Al at (0.0000, 0.0000, 0.0000) and Tl at (0.3333, 0.6667, 0.7500).

For the volume, the calculation gives 231 Å³ per cell. For the density of states at the Fermi level, the calculation gives 7.84 states/eV/cell. The value obtained for the calculated density is 7.2 Mg/m³.


Model two:
Below is a relaxed structure of Zr3AlTl, with properties calculated at the GGA-PBE level.

The structure belongs to space group Pm-3m (No. 221); the cell edges are 5.2967, 5.2967 and 5.2967 Å and the angles 90.00°, 90.00° and 90.00°. The distinct sites, in fractional coordinates, are Zr at (0.0000, 0.0000, 0.5000), Al at (0.5000, 0.5000, 0.5000) and Tl at (0.0000, 0.0000, 0.0000).

For the volume, the calculation gives 149 Å³ per cell. For the density of states at the Fermi level, the calculation gives 6.91 states/eV/cell. The value obtained for the calculated density is 5.6 Mg/m³.


Model three:
Below is a relaxed structure of Zr3AlTl, with properties calculated at the GGA-PBE level.

The structure belongs to space group Cmcm (No. 63); the cell edges are 5.5632, 15.6915 and 5.5314 Å and the angles 90.00°, 90.00° and 90.00°. The distinct sites, in fractional coordinates, are Zr at (0.0000, 0.0000, 0.0000), Zr at (0.2504, 0.1536, 0.2500), Al at (0.0000, 0.4737, 0.2500) and Tl at (0.0000, 0.1730, 0.7500).

For the volume, the calculation gives 483 Å³ per cell. For the density of states at the Fermi level, the calculation gives 18.06 states/eV/cell. The value obtained for the calculated density is 6.9 Mg/m³.


Tell me which of them is the most stable. Sure, it is model one.


Model one:
Below is a relaxed structure of Tm3Al4, with properties calculated at the GGA-PBE level.

The structure belongs to space group Cmcm (No. 63); the cell edges are 4.1182, 10.9581 and 14.0775 Å and the angles 90.00°, 90.00° and 90.00°. The distinct sites, in fractional coordinates, are Tm at (0.0000, 0.0035, 0.2500), Tm at (0.0000, 0.2956, 0.5997), Al at (0.0000, 0.0000, 0.0000), Al at (0.0000, 0.2799, 0.2500) and Al at (0.0000, 0.4191, 0.0988).

For the volume, the calculation gives 635 Å³ per cell. For the density of states at the Fermi level, the calculation gives 20.79 states/eV/cell. The value obtained for the calculated density is 6.4 Mg/m³.


Model two:
Below is a relaxed structure of Tm3Al4, with properties calculated at the GGA-PBE level.

The structure belongs to space group Immm (No. 71); the cell edges are 3.4917, 4.5044 and 19.5175 Å and the angles 90.00°, 90.00° and 90.00°. The distinct sites, in fractional coordinates, are Tm at (0.0000, 0.0000, 0.0000), Tm at (0.0000, 0.5000, 0.1973), Al at (0.0000, 0.0000, 0.4334) and Al at (0.0000, 0.5000, 0.3601).

For the volume, the calculation gives 307 Å³ per cell. For the density of states at the Fermi level, the calculation gives 11.96 states/eV/cell. The value obtained for the calculated density is 6.7 Mg/m³.


Tell me which of them is the most stable. Sure, it is model two.


Model one:
Below is a relaxed structure of TmAl2V, with properties calculated at the GGA-PBE level.

The structure belongs to space group P4/mmm (No. 123); the cell edges are 3.3557, 3.3557 and 6.4703 Å and the angles 90.00°, 90.00° and 90.00°. The distinct sites, in fractional coordinates, are Tm at (0.0000, 0.0000, 0.0000), Al at (0.5000, 0.5000, 0.3016) and V at (0.0000, 0.0000, 0.5000).

For the volume, the calculation gives 73 Å³ per cell. For the density of states at the Fermi level, the calculation gives 3.07 states/eV/cell. The value obtained for the calculated density is 6.2 Mg/m³.


Model two:
Below is a relaxed structure of TmAl2V, with properties calculated at the GGA-PBE level.

The structure belongs to space group R-3m (No. 166, hexagonal axes); the cell edges are 2.9833, 2.9833 and 28.7816 Å and the angles 90.00°, 90.00° and 120.00°. The distinct sites, in fractional coordinates, are Tm at (0.0000, 0.0000, 0.0000), Al at (0.0000, 0.0000, 0.2397) and V at (0.0000, 0.0000, 0.5000).

For the volume, the calculation gives 222 Å³ per cell. For the density of states at the Fermi level, the calculation gives 11.93 states/eV/cell. The value obtained for the calculated density is 6.1 Mg/m³.


Tell me which of them is the most stable. Sure, it is model one.